A geometry-optimized CaGe3H structure, computed with GGA-PBEsol.

Computed properties:
* magnetic moment: 1.09 μB per formula unit
* volume: 31.8 Å³/atom
* crystal system: cubic
* density: 2.71 Mg/m³
* electronic total energy: -12.64 eV for the cell shown

Cell lengths 5.417, 5.417, 5.417 Å; angles 90.00, 90.00, 90.00 degrees
Space group Pm-3m (No. 221)
Asymmetric unit:
Ca 0.000 0.000 0.000 (multiplicity 1)
Ge 0.000 0.000 0.500 (multiplicity 3)
H 0.500 0.500 0.500 (multiplicity 1)

A geometry-optimized Cd2CuAg structure, computed with GGA-PBEsol.

Computed properties:
* magnetic moment: 0.00 μB per formula unit
* volume: 16.9 Å³/atom
* crystal system: tetragonal
* density: 9.71 Mg/m³
* electronic total energy: -9.97 eV for the cell shown

Cell lengths 3.116, 3.116, 6.983 Å; angles 90.00, 90.00, 90.00 degrees
Space group P4mm (No. 99)
Asymmetric unit:
Cd 0.000 0.000 0.000 (multiplicity 1)
Cd 0.500 0.500 0.301 (multiplicity 1)
Cu 0.000 0.000 0.526 (multiplicity 1)
Ag 0.500 0.500 0.735 (multiplicity 1)

A geometry-optimized Sb3PbCl structure, computed with GGA-PBEsol.

Computed properties:
* magnetic moment: 0.00 μB per formula unit
* E_form (uncorrected): 537.9 meV/atom
* volume: 29.8 Å³/atom
* crystal system: cubic
* density: 6.77 Mg/m³

Cell lengths 5.302, 5.302, 5.302 Å; angles 90.00, 90.00, 90.00 degrees
Space group Pm-3m (No. 221)
Asymmetric unit:
Sb 0.000 0.000 0.500 (multiplicity 3)
Pb 0.500 0.500 0.500 (multiplicity 1)
Cl 0.000 0.000 0.000 (multiplicity 1)

A geometry-optimized InOsO2F structure, computed with GGA-PBEsol.

Computed properties:
* magnetic moment: 0.00 μB per formula unit
* E_form (uncorrected): -899.7 meV/atom
* volume: 18.7 Å³/atom
* crystal system: tetragonal
* density: 6.34 Mg/m³

Cell lengths 3.673, 3.673, 6.915 Å; angles 90.00, 90.00, 90.00 degrees
Space group P4/mmm (No. 123)
Asymmetric unit:
In 0.000 0.000 0.000 (multiplicity 1)
Os 0.500 0.500 0.500 (multiplicity 1)
O 0.000 0.500 0.500 (multiplicity 2)
F 0.500 0.500 0.000 (multiplicity 1)

A geometry-optimized LiAu5 structure, computed with GGA-PBEsol.

Computed properties:
* magnetic moment: 0.00 μB per formula unit
* volume: 16.4 Å³/atom
* crystal system: orthorhombic
* density: 16.69 Mg/m³
* electronic total energy: -45.45 eV for the cell shown

Cell lengths 4.697, 2.857, 14.707 Å; angles 90.00, 90.00, 90.00 degrees
Space group Amm2 (No. 38)
Asymmetric unit:
Li 0.000 0.000 0.000 (multiplicity 2)
Au 0.000 0.000 0.338 (multiplicity 2)
Au 0.000 0.000 0.662 (multiplicity 2)
Au 0.500 0.000 0.220 (multiplicity 2)
Au 0.500 0.000 0.553 (multiplicity 2)
Au 0.500 0.000 0.889 (multiplicity 2)

A geometry-optimized CdPPt2 structure, computed with GGA-PBEsol.

Computed properties:
* magnetic moment: 0.00 μB per formula unit
* volume: 16.4 Å³/atom
* crystal system: tetragonal
* density: 13.52 Mg/m³
* electronic total energy: -21.70 eV for the cell shown

Cell lengths 3.303, 3.303, 6.007 Å; angles 90.00, 90.00, 90.00 degrees
Space group P4mm (No. 99)
Asymmetric unit:
Cd 0.000 0.000 0.000 (multiplicity 1)
P 0.500 0.500 0.349 (multiplicity 1)
Pt 0.000 0.000 0.471 (multiplicity 1)
Pt 0.500 0.500 0.745 (multiplicity 1)